Na2AsPdO4 GGA-PBE relaxed; formation energy (no corrections) = -9.6 eV per formula unit; SG = I-4, No. 82; volume = 13.995 Å³/atom
1.0
5.2429 0.2321 0.3555
-2.0240 4.8420 -0.3555
-2.0240 -2.2740 4.2896
Na As Pd O
2 1 1 4
Direct
0.5000 0.7500 0.2500
0.0000 0.0000 0.0000
0.0000 0.5000 0.5000
0.5000 0.2500 0.7500
0.6739 0.5017 0.5111
0.0094 0.1722 0.4983
0.9906 0.4889 0.1628
0.3261 0.8372 0.8278